No. 1
In3BPt | GGA-PBEsol | optimized geometry

## Properties
- Crystal system: cubic
- DFT total energy: -3.7684 eV/atom
- DOS(E_F): 0.66 states/eV/atom

a = 5.0669 Å, b = 5.0669 Å, c = 5.0669 Å
α = 90.00°, β = 90.00°, γ = 90.00°
Space group Pm-3m (No. 221)
Asymmetric unit:
In 0.0000 0.0000 0.5000 x3
B 0.5000 0.5000 0.5000 x1
Pt 0.0000 0.0000 0.0000 x1



No. 2
AlFeAu | GGA-PBEsol | optimized geometry

## Properties
- Crystal system: trigonal
- DFT total energy: -5.6761 eV/atom
- DOS(E_F): 0.55 states/eV/atom

a = 2.7891 Å, b = 2.7891 Å, c = 6.3602 Å
α = 90.00°, β = 90.00°, γ = 120.00°
Space group P3m1 (No. 156)
Asymmetric unit:
Al 0.0000 0.0000 0.0000 x1
Fe 0.3333 0.6667 0.3030 x1
Au 0.6667 0.3333 0.6481 x1



No. 3
BPRh3 | GGA-PBEsol | optimized geometry

## Properties
- Crystal system: cubic
- DFT total energy: -7.2972 eV/atom
- DOS(E_F): 1.67 states/eV/atom

a = 4.0245 Å, b = 4.0245 Å, c = 4.0245 Å
α = 90.00°, β = 90.00°, γ = 90.00°
Space group Pm-3m (No. 221)
Asymmetric unit:
B 0.0000 0.0000 0.0000 x1
P 0.5000 0.5000 0.5000 x1
Rh 0.0000 0.0000 0.5000 x3



No. 4
BeO2F2 | GGA-PBEsol | optimized geometry

## Properties
- Crystal system: tetragonal
- DFT total energy: -3.3263 eV/atom
- DOS(E_F): 0.14 states/eV/atom

a = 3.6236 Å, b = 3.6236 Å, c = 3.5761 Å
α = 90.00°, β = 90.00°, γ = 90.00°
Space group P4/mmm (No. 123)
Asymmetric unit:
Be 0.0000 0.0000 0.0000 x1
O 0.5000 0.5000 0.0000 x1
O 0.5000 0.5000 0.5000 x1
F 0.0000 0.5000 0.5000 x2



No. 5
K2NiOs | GGA-PBEsol | optimized geometry

## Properties
- Crystal system: tetragonal
- DFT total energy: -4.3138 eV/atom
- DOS(E_F): 0.88 states/eV/atom
- Distance to the lowest polymorph of the same formula: 2.6 kJ per mole of atoms

a = 3.2569 Å, b = 3.2569 Å, c = 9.9856 Å
α = 90.00°, β = 90.00°, γ = 90.00°
Space group P4mm (No. 99)
Asymmetric unit:
K 0.0000 0.0000 0.0000 x1
K 0.5000 0.5000 0.4349 x1
Ni 0.0000 0.0000 0.6777 x1
Os 0.5000 0.5000 0.7475 x1



No. 6
CuNiRh2 | GGA-PBEsol | optimized geometry

## Properties
- Crystal system: monoclinic
- DFT total energy: -6.6116 eV/atom
- DOS(E_F): 1.51 states/eV/atom

a = 8.4533 Å, b = 2.6192 Å, c = 4.5402 Å
α = 90.00°, β = 100.35°, γ = 90.00°
Space group C2/m (No. 12)
Asymmetric unit:
Cu 0.0000 0.0000 0.0000 x2
Ni 0.0000 0.5000 0.5000 x2
Rh 0.2466 0.0000 0.7467 x4



No. 7
Mg2In5 | GGA-PBEsol | optimized geometry

## Properties
- Crystal system: tetragonal
- DFT total energy: -2.6591 eV/atom
- DOS(E_F): 0.33 states/eV/atom

a = 9.4293 Å, b = 9.4293 Å, c = 7.8494 Å
α = 90.00°, β = 90.00°, γ = 90.00°
Space group I4/mmm (No. 139)
Asymmetric unit:
Mg 0.2041 0.2041 0.0000 x8
In 0.0000 0.0000 0.1907 x4
In 0.0000 0.2926 0.3156 x16



No. 8
BaTeHN2 | GGA-PBEsol | optimized geometry

## Properties
- Crystal system: tetragonal
- DFT total energy: -4.1799 eV/atom
- DOS(E_F): 0.56 states/eV/atom

a = 4.6377 Å, b = 4.6377 Å, c = 3.6391 Å
α = 90.00°, β = 90.00°, γ = 90.00°
Space group P4/mmm (No. 123)
Asymmetric unit:
Ba 0.0000 0.0000 0.0000 x1
Te 0.5000 0.5000 0.0000 x1
H 0.5000 0.5000 0.5000 x1
N 0.0000 0.5000 0.5000 x2



No. 9
Li3Ti2Cu3O10 | GGA-PBEsol | optimized geometry

## Properties
- Crystal system: triclinic
- DFT total energy: -6.5648 eV/atom
- DOS(E_F): 0.31 states/eV/atom

a = 5.0608 Å, b = 5.2876 Å, c = 7.7775 Å
α = 109.68°, β = 95.76°, γ = 106.06°
Space group P-1 (No. 2)
Asymmetric unit:
Li 0.0000 0.0000 0.0000 x1
Li 0.3192 0.5791 0.1284 x2
Ti 0.3768 0.8023 0.8093 x2
Cu 0.2042 0.3701 0.4113 x2
Cu 0.5000 0.0000 0.5000 x1
O 0.0119 0.6553 0.8244 x2
O 0.1868 0.7612 0.5473 x2
O 0.2990 0.0166 0.2935 x2
O 0.4109 0.1925 0.9746 x2
O 0.4427 0.4476 0.6537 x2



No. 10
CaMoRh2 | GGA-PBEsol | optimized geometry

## Properties
- Crystal system: tetragonal
- DFT total energy: -7.2359 eV/atom
- DOS(E_F): 1.51 states/eV/atom
- Distance to the lowest polymorph of the same formula: 40.6 kJ per mole of atoms

a = 2.8162 Å, b = 2.8162 Å, c = 8.4292 Å
α = 90.00°, β = 90.00°, γ = 90.00°
Space group P4mm (No. 99)
Asymmetric unit:
Ca 0.0000 0.0000 0.0000 x1
Mo 0.5000 0.5000 0.3238 x1
Rh 0.0000 0.0000 0.5237 x1
Rh 0.5000 0.5000 0.7483 x1



No. 11
ZrMn2Au | GGA-PBEsol | optimized geometry

## Properties
- Crystal system: tetragonal
- DFT total energy: -8.1867 eV/atom
- DOS(E_F): 0.63 states/eV/atom

a = 3.8283 Å, b = 3.8283 Å, c = 8.4826 Å
α = 90.00°, β = 90.00°, γ = 90.00°
Space group I-4m2 (No. 119)
Asymmetric unit:
Zr 0.0000 0.0000 0.0000 x2
Mn 0.0000 0.0000 0.5000 x2
Mn 0.0000 0.5000 0.2500 x2
Au 0.0000 0.5000 0.7500 x2



No. 12
KLi2ZnN | GGA-PBEsol | optimized geometry

## Properties
- Crystal system: tetragonal
- DFT total energy: -2.6049 eV/atom
- DOS(E_F): 0.60 states/eV/atom

a = 5.2100 Å, b = 5.2100 Å, c = 3.7893 Å
α = 90.00°, β = 90.00°, γ = 90.00°
Space group P4/mmm (No. 123)
Asymmetric unit:
K 0.0000 0.0000 0.0000 x1
Li 0.0000 0.5000 0.5000 x2
Zn 0.5000 0.5000 0.5000 x1
N 0.5000 0.5000 0.0000 x1